1.
Cd2Hg3, PBEsol geometry, DFT meta-GGA SCAN; E above lowest polymorph = 0.00 eV/f.u.; energy of formation from the pure elements = 0.043 eV per formula unit; size of the total moment = 0.0 μB/cell
1.0
1.660 0.959 11.544
-1.660 0.959 11.544
0.000 -1.917 11.544
Cd Hg
2 3
Direct
0.101 0.101 0.101
0.899 0.899 0.899
0.299 0.299 0.299
0.500 0.500 0.500
0.701 0.701 0.701

---

2.
TaMnAu3, PBEsol geometry, DFT meta-GGA SCAN; energy of formation from the pure elements = 4.071 eV per formula unit; size of the total moment = 4.9 μB/cell
1.0
5.004 0.000 0.000
0.000 5.004 0.000
0.000 0.000 5.004
Ta Mn Au
1 1 3
Direct
0.000 0.000 0.000
0.500 0.500 0.500
0.000 0.000 0.500
0.000 0.500 0.000
0.500 0.000 0.000

---

3.
MnMo2Cl, PBEsol geometry, DFT meta-GGA SCAN; E above lowest polymorph = 0.01 eV/f.u.; formation energy from raw total energies = 0.6906 eV/atom; size of the total moment = 3.2 μB/cell
1.0
2.901 0.000 0.000
0.000 4.441 0.000
0.000 0.000 4.512
Mn Mo Cl
1 2 1
Direct
0.000 0.000 0.000
0.000 0.500 0.500
0.500 0.000 0.500
0.500 0.500 0.000

---

4.
TaIn2P, PBEsol geometry, DFT meta-GGA SCAN; energy of formation from the pure elements = 1.507 eV per formula unit; size of the total moment = 0.0 μB/cell
1.0
2.779 -4.422 0.000
2.779 4.422 0.000
0.000 0.000 3.035
Ta In P
1 2 1
Direct
0.000 0.000 0.000
0.000 0.500 0.500
0.500 0.000 0.500
0.500 0.500 0.000

---

5.
Zn2FeRe, PBEsol geometry, DFT meta-GGA SCAN; E above lowest polymorph = 0.19 eV/f.u.; energy of formation from the pure elements = 0.469 eV per formula unit; size of the total moment = 2.6 μB/cell
1.0
2.578 0.000 0.000
0.000 4.216 0.000
-0.533 0.000 4.824
Zn Fe Re
2 1 1
Direct
0.000 0.000 0.000
0.083 0.500 0.741
0.671 0.500 0.247
0.482 0.000 0.490

---

6.
CsPOs3, PBEsol geometry, DFT meta-GGA SCAN; energy of formation from the pure elements = 8.514 eV per formula unit; size of the total moment = 2.1 μB/cell
1.0
4.535 0.000 0.000
0.000 4.535 0.000
0.000 0.000 4.535
Cs P Os
1 1 3
Direct
0.000 0.000 0.000
0.500 0.500 0.500
0.000 0.500 0.500
0.500 0.000 0.500
0.500 0.500 0.000

---

7.
LaAl2Re, PBEsol geometry, DFT meta-GGA SCAN; E above lowest polymorph = 0.79 eV/f.u.; energy of formation from the pure elements = 1.185 eV per formula unit; size of the total moment = 0.0 μB/cell
1.0
-2.390 2.390 8.628
2.390 -2.390 8.628
2.390 2.390 -8.628
La Al Re
2 4 2
Direct
0.000 0.000 0.000
0.750 0.250 0.500
0.327 0.625 0.202
0.375 0.577 0.702
0.423 0.125 0.798
0.875 0.673 0.298
0.250 0.750 0.500
0.500 0.500 0.000

---

8.
Rb2MnNbI, PBEsol geometry, DFT meta-GGA SCAN; formation energy from raw total energies = 1.0374 eV/atom; size of the total moment = 9.9 μB/cell
1.0
6.837 0.000 0.000
0.000 6.837 0.000
0.000 0.000 5.018
Rb Mn Nb I
2 1 1 1
Direct
0.000 0.500 0.000
0.500 0.000 0.000
0.000 0.000 0.000
0.500 0.500 0.500
0.000 0.000 0.500

---

9.
YZr2Mo, PBEsol geometry, DFT meta-GGA SCAN; energy of formation from the pure elements = 1.389 eV per formula unit; size of the total moment = 0.0 μB/cell
1.0
2.989 0.000 0.000
0.000 4.773 0.000
0.000 0.000 5.963
Y Zr Mo
1 2 1
Direct
0.000 0.000 0.000
0.000 0.000 0.528
0.500 0.500 0.282
0.500 0.500 0.743

---

10.
CaTlAs, PBEsol geometry, DFT meta-GGA SCAN; energy of formation from the pure elements = -1.441 eV per formula unit; size of the total moment = 0.0 μB/cell
1.0
-1.919 1.919 5.029
1.919 -1.919 5.029
1.919 1.919 -5.029
Ca Tl As
1 1 1
Direct
0.000 0.000 0.000
0.306 0.306 0.000
0.666 0.666 0.000

---

11.
Tl5Hg24, PBEsol geometry, DFT meta-GGA SCAN; energy of formation from the pure elements = 0.383 eV per formula unit; size of the total moment = 0.0 μB/cell
1.0
-5.606 5.606 5.606
5.606 -5.606 5.606
5.606 5.606 -5.606
Tl Hg
5 24
Direct
0.000 0.000 0.000
0.000 0.000 0.358
0.000 0.358 0.000
0.358 0.000 0.000
0.642 0.642 0.642
0.000 0.316 0.590
0.000 0.590 0.316
0.000 0.617 0.807
0.000 0.807 0.617
0.190 0.383 0.383
0.193 0.193 0.810
0.193 0.810 0.193
0.273 0.684 0.684
0.316 0.000 0.590
0.316 0.590 0.000
0.383 0.190 0.383
0.383 0.383 0.190
0.410 0.410 0.727
0.410 0.727 0.410
0.590 0.000 0.316
0.590 0.316 0.000
0.617 0.000 0.807
0.617 0.807 0.000
0.684 0.273 0.684
0.684 0.684 0.273
0.727 0.410 0.410
0.807 0.000 0.617
0.807 0.617 0.000
0.810 0.193 0.193

---

12.
SrY3Co, PBEsol geometry, DFT meta-GGA SCAN; energy of formation from the pure elements = 0.045 eV per formula unit; size of the total moment = 0.1 μB/cell
1.0
5.317 0.000 0.000
0.000 5.317 0.000
0.000 0.000 5.317
Sr Y Co
1 3 1
Direct
0.000 0.000 0.000
0.000 0.500 0.500
0.500 0.000 0.500
0.500 0.500 0.000
0.500 0.500 0.500

---

What is the formula in the sixth record?
CsPOs3